This record from OQMD via LeMat-Bulk describes a relaxed Al2Co crystal. The functional is PBE.

```
Al2Co
1.0
8.942 0.000 0.000
0.000 8.942 0.000
0.000 0.000 4.926
Al Co
20 10
Direct
0.058 0.279 0.000
0.106 0.106 0.500
0.179 0.821 0.250
0.179 0.821 0.750
0.221 0.558 0.500
0.279 0.058 0.000
0.321 0.321 0.250
0.321 0.321 0.750
0.394 0.606 0.000
0.442 0.779 0.500
0.558 0.221 0.500
0.606 0.394 0.000
0.679 0.679 0.250
0.679 0.679 0.750
0.721 0.942 0.000
0.779 0.442 0.500
0.821 0.179 0.250
0.821 0.179 0.750
0.894 0.894 0.500
0.942 0.721 0.000
0.000 0.000 0.000
0.034 0.357 0.500
0.143 0.534 0.000
0.357 0.034 0.500
0.466 0.857 0.000
0.500 0.500 0.500
0.534 0.143 0.000
0.643 0.966 0.500
0.857 0.466 0.000
0.966 0.643 0.500
```

Total energy: -5.11 eV per atom
ρ: 4.8 g/cm3